(1)
The following is a DFT calculation (PBE-GGA) of crystalline KNaB2H8 at its relaxed geometry.

Total magnetization in Bohr magnetons per cell: 0.00
Final energy in Ha/atom: -0.1438
Crystal system: trigonal
Calculated volume in Å³ per atom: 10.5

Lattice parameters (Å, degrees): 4.4070 4.4070 7.5193 90.00 90.00 120.00
Closest atoms and distances in Å follow each position.
Space group P-3 (No. 147)
Unique sites:
K (0.0000, 0.0000, 0.0000) (multiplicity 1)  6 H 2.65
Na (0.0000, 0.0000, 0.5000) (multiplicity 1)  6 H 2.36
B (0.3333, 0.6667, 0.7365) (multiplicity 2)  4 H 1.23
H (0.0389, 0.4505, 0.6851) (multiplicity 6)  1 B 1.23
H (0.3333, 0.6667, 0.9001) (multiplicity 2)  1 B 1.23

---

(2)
The following is a DFT calculation (PBE-GGA) of crystalline KNaB2H8 at its relaxed geometry.

Total magnetization in Bohr magnetons per cell: 0.00
Final energy in Ha/atom: -0.1442
Crystal system: trigonal
Calculated volume in Å³ per atom: 11.3

Lattice parameters (Å, degrees): 4.6496 4.6496 7.2290 90.00 90.00 120.00
Closest atoms and distances in Å follow each position.
Space group P3m1 (No. 156)
Unique sites:
K (0.0000, 0.0000, 0.0000) (multiplicity 1)  12 H 2.69-2.91, 3 B 3.00
Na (0.3333, 0.6667, 0.5379) (multiplicity 1)  9 H 2.44, 1 B 2.55
B (0.3333, 0.6667, 0.1848) (multiplicity 1)  4 H 1.23
B (0.6667, 0.3333, 0.6972) (multiplicity 1)  4 H 1.22-1.23
H (0.0449, 0.5225, 0.2404) (multiplicity 3)  1 B 1.23
H (0.3333, 0.6667, 0.0150) (multiplicity 1)  1 B 1.23
H (0.3789, 0.1894, 0.6390) (multiplicity 3)  1 B 1.23
H (0.6667, 0.3333, 0.8661) (multiplicity 1)  1 B 1.22

---

(3)
The following is a DFT calculation (PBE-GGA) of crystalline KNaBH4 at its relaxed geometry.

Total magnetization in Bohr magnetons per cell: 0.00
Final energy in Ha/atom: -0.1217
Crystal system: cubic
Calculated volume in Å³ per atom: 21.3

Lattice parameters (Å, degrees): 8.4116 8.4116 8.4116 90.00 90.00 90.00
Closest atoms and distances in Å follow each position.
Space group F-43m (No. 216)
Unique sites:
K (0.0000, 0.0000, 0.0000) (multiplicity 4)  12 H 3.63, 4 Na 3.64
Na (0.2500, 0.2500, 0.7500) (multiplicity 4)  4 H 2.40
B (0.0000, 0.0000, 0.5000) (multiplicity 4)  4 H 1.24
H (0.0850, 0.0850, 0.5850) (multiplicity 16)  1 B 1.24

---

What is the calculated volume in the second record?
11.3 Å³ per atom